Entry 1:
Computed, not measured: a relaxed Tl2SiNi crystal at the GGA-PBE level of DFT.

The value obtained for the magnetization is 0.0 μB per cell. The offset from the most stable computed form comes out at 1.6 meV/atom.

It has space group Cm (No. 8), with a = 7.3844 Å, b = 3.5435 Å, c = 7.3258 Å, α = 90.00°, β = 106.14° and γ = 90.00°. The distinct sites, in fractional coordinates, are Tl at (0.0000, 0.0000, 0.0000), Tl at (0.1757, 0.0000, 0.6161), Si at (0.2723, 0.5000, 0.3069) and Ni at (0.4597, 0.0000, 0.3112).

Entry 2:
Computed, not measured: a relaxed TlSiNi3 crystal at the GGA-PBE level of DFT.

The value obtained for the magnetization is 0.0 μB per cell. The offset from the most stable computed form comes out at 1241.2 meV/atom.

It has space group Pm-3m (No. 221), with a = 4.7150 Å, b = 4.7150 Å, c = 4.7150 Å, α = 90.00°, β = 90.00° and γ = 90.00°. The distinct sites, in fractional coordinates, are Tl at (0.0000, 0.0000, 0.0000), Si at (0.5000, 0.5000, 0.5000) and Ni at (0.0000, 0.0000, 0.5000).

Entry 3:
Computed, not measured: a relaxed Tl2SiNi crystal at the GGA-PBE level of DFT.

The value obtained for the magnetization is 0.0 μB per cell. The offset from the most stable computed form comes out at 492.4 meV/atom.

It has space group C2/m (No. 12), with a = 8.1357 Å, b = 3.4636 Å, c = 6.1938 Å, α = 90.00°, β = 104.60° and γ = 90.00°. The distinct sites, in fractional coordinates, are Tl at (0.2400, 0.0000, 0.2273), Si at (0.0000, 0.0000, 0.5000) and Ni at (0.0000, 0.5000, 0.0000).

Entry 4:
Computed, not measured: a relaxed Tl2SiNi crystal at the GGA-PBE level of DFT.

The value obtained for the magnetization is 0.0 μB per cell. The offset from the most stable computed form comes out at 0.0 meV/atom.

It has space group P4mm (No. 99), with a = 3.1471 Å, b = 3.1471 Å, c = 9.0678 Å, α = 90.00°, β = 90.00° and γ = 90.00°. The distinct sites, in fractional coordinates, are Tl at (0.0000, 0.0000, 0.0000), Tl at (0.5000, 0.5000, 0.3890), Si at (0.5000, 0.5000, 0.7332) and Ni at (0.0000, 0.0000, 0.6502).

Entry 5:
Computed, not measured: a relaxed Tl2SiNi2 crystal at the GGA-PBE level of DFT.

The value obtained for the magnetization is 0.0 μB per cell. The offset from the most stable computed form comes out at 0.0 meV/atom.

It has space group P4/mbm (No. 127), with a = 6.3123 Å, b = 6.3123 Å, c = 4.4850 Å, α = 90.00°, β = 90.00° and γ = 90.00°. The distinct sites, in fractional coordinates, are Tl at (0.1673, 0.3327, 0.0000), Si at (0.0000, 0.0000, 0.5000) and Ni at (0.1623, 0.6623, 0.5000).

Entry 6:
Computed, not measured: a relaxed TlSi2Ni crystal at the GGA-PBE level of DFT.

The value obtained for the magnetization is 0.0 μB per cell. Its total energy is -33.3 eV/cell.

It has space group Cmmm (No. 65), with a = 5.1480 Å, b = 7.4768 Å, c = 3.6412 Å, α = 90.00°, β = 90.00° and γ = 90.00°. The distinct sites, in fractional coordinates, are Tl at (0.0000, 0.0000, 0.0000), Si at (0.2500, 0.2500, 0.5000) and Ni at (0.0000, 0.5000, 0.0000).

Entry 7:
Computed, not measured: a relaxed TlSi2Ni crystal at the GGA-PBE level of DFT.

The value obtained for the magnetization is 0.0 μB per cell. Its total energy is -68.2 eV/cell.

It has space group Fmmm (No. 69), with a = 5.2144 Å, b = 5.2907 Å, c = 10.0021 Å, α = 90.00°, β = 90.00° and γ = 90.00°. The distinct sites, in fractional coordinates, are Tl at (0.0000, 0.0000, 0.0000), Si at (0.2500, 0.0000, 0.2500) and Ni at (0.0000, 0.0000, 0.5000).

Entry 8:
Computed, not measured: a relaxed TlSi2Ni crystal at the GGA-PBE level of DFT.

The value obtained for the magnetization is 0.0 μB per cell. Its total energy is -16.9 eV/cell.

It has space group Pmmm (No. 47), with a = 3.6687 Å, b = 3.7265 Å, c = 5.0466 Å, α = 90.00°, β = 90.00° and γ = 90.00°. The distinct sites, in fractional coordinates, are Tl at (0.0000, 0.0000, 0.0000), Si at (0.0000, 0.5000, 0.5000), Si at (0.5000, 0.0000, 0.5000) and Ni at (0.5000, 0.5000, 0.0000).